1.
{"formula": "MgHgBiO4", "functional": "GGA-PBE", "state": "optimized geometry", "lattice": [[-2.488, -5.682, 1.836], [6.345, 0.302, -1.861], [-2.163, 2.856, 5.905]], "species": ["Mg", "Mg", "Hg", "Hg", "Bi", "Bi", "O", "O", "O", "O", "O", "O", "O", "O"], "frac_coords": [[0.500, 0.500, 0.500], [0.000, 0.500, 0.500], [0.846, 0.693, 0.096], [0.154, 0.307, 0.904], [0.500, 0.000, 0.500], [0.500, 0.000, 0.000], [0.740, 0.481, 0.696], [0.289, 0.030, 0.265], [0.741, 0.030, 0.265], [0.740, 0.481, 0.284], [0.260, 0.519, 0.716], [0.711, 0.970, 0.735], [0.259, 0.970, 0.735], [0.260, 0.519, 0.304]], "spacegroup": "Imma", "magmom_total_mub_per_atom": 0.000, "e_tot_ev_per_atom": -4.905, "dos_at_fermi_per_ev_cell": 4.42}

***

2.
{"formula": "Mg2Hg2BiO6", "functional": "GGA-PBE", "state": "optimized geometry", "lattice": [[-5.394, 1.074, 0.812], [2.530, -3.440, 3.559], [2.934, 5.757, 0.997]], "species": ["Mg", "Mg", "Hg", "Hg", "Bi", "O", "O", "O", "O", "O", "O"], "frac_coords": [[0.334, 0.666, 0.500], [0.666, 0.334, 0.500], [0.820, 0.180, 0.000], [0.180, 0.820, 0.000], [0.000, 0.000, 0.500], [0.773, 0.773, 0.705], [0.096, 0.447, 0.691], [0.227, 0.227, 0.295], [0.447, 0.096, 0.691], [0.904, 0.553, 0.309], [0.553, 0.904, 0.309]], "spacegroup": "C2/m", "magmom_total_mub_per_atom": 0.000, "e_tot_ev_per_atom": -4.641, "dos_at_fermi_per_ev_cell": 2.59}

***

3.
{"formula": "MgPaHgBi", "functional": "GGA-PBE", "state": "optimized geometry", "lattice": [[5.271, 0.000, 0.000], [2.635, 4.564, 0.000], [2.635, 1.521, 4.303]], "species": ["Mg", "Pa", "Bi", "Hg"], "frac_coords": [[0.000, 0.000, 0.000], [0.500, 0.500, 0.500], [0.750, 0.750, 0.750], [0.250, 0.250, 0.250]], "spacegroup": "F-43m", "magmom_total_mub_per_atom": 0.370, "e_tot_ev_per_atom": -3.811, "e_form_kcal_per_mol_atoms": 0.169, "dos_at_fermi_per_ev_cell": 4.48}

***

4.
{"formula": "Mg2HgBiPd4", "functional": "GGA-PBE", "state": "optimized geometry", "lattice": [[4.670, 0.000, 0.000], [2.335, 4.044, 0.000], [2.335, 1.348, 7.597]], "species": ["Mg", "Mg", "Hg", "Bi", "Pd", "Pd", "Pd", "Pd"], "frac_coords": [[0.754, 0.754, 0.738], [0.246, 0.246, 0.262], [0.500, 0.500, 0.500], [0.000, 0.000, 0.000], [0.375, 0.375, 0.875], [0.874, 0.874, 0.377], [0.126, 0.126, 0.623], [0.625, 0.625, 0.125]], "spacegroup": "R-3m", "magmom_total_mub_per_atom": 0.000, "e_tot_ev_per_atom": -3.992, "e_form_kcal_per_mol_atoms": -10.937, "dos_at_fermi_per_ev_cell": 2.20}

***

5.
{"formula": "MgHgBiPd2", "functional": "GGA-PBE", "state": "optimized geometry", "lattice": [[5.184, 0.000, 0.000], [0.000, 5.378, 0.000], [0.000, 0.000, 5.184]], "species": ["Mg", "Bi", "Pd", "Pd", "Hg"], "frac_coords": [[0.000, 0.500, 0.000], [0.000, 0.000, 0.000], [0.000, 0.000, 0.500], [0.500, 0.000, 0.000], [0.500, 0.500, 0.500]], "spacegroup": "P4/mmm", "magmom_total_mub_per_atom": 0.000, "e_tot_ev_per_atom": -2.804, "e_form_kcal_per_mol_atoms": 9.895, "dos_at_fermi_per_ev_cell": 5.19}

***

6.
{"formula": "PmMgHgBi", "functional": "GGA-PBE", "state": "optimized geometry", "lattice": [[5.362, 0.000, 0.000], [2.681, 4.644, 0.000], [2.681, 1.548, 4.378]], "species": ["Mg", "Pm", "Bi", "Hg"], "frac_coords": [[0.000, 0.000, 0.000], [0.500, 0.500, 0.500], [0.250, 0.250, 0.250], [0.750, 0.750, 0.750]], "spacegroup": "F-43m", "magmom_total_mub_per_atom": 0.000, "e_tot_ev_per_atom": -2.997, "e_form_kcal_per_mol_atoms": -8.419, "dos_at_fermi_per_ev_cell": 1.65}